DFT (GGA-PBE) results for Sm2TmThBi5 after structural relaxation.

Cell: 5.7473 5.7473 11.8327 Å, 90.00 90.00 90.00°
Fractional positions:
Sm 0.0000 0.0000 0.2215
Sm 0.0000 0.0000 0.7785
Tm 0.5000 0.5000 0.5000
Th 0.5000 0.5000 0.0000
Bi 0.0000 0.0000 0.5000
Bi 0.0000 0.5000 0.0000
Bi 0.5000 0.0000 0.0000
Bi 0.5000 0.5000 0.2589
Bi 0.5000 0.5000 0.7411

Results
**SG**: P4/mmm, No. 123
**Total magnetization**: 0.000 μB per formula unit
**ΔE_f**: 0.13 eV/atom